The following is a PBE-GGA calculation of a geometry-optimized Sr3Mg2Ag4 structure, from Alexandria.

Computed properties:
Theoretical density   4.85 g cm⁻³
Density of states at the Fermi level   0.5060 states/eV/atom
Crystal system   monoclinic
ΔH_f (0 K)   -223 kJ/mol of formula units
Total energy   -21.95 eV/f.u.

```
9
Lattice="-0.655 2.154 -4.282 1.954 -6.148 -0.658 -9.238 0.217 1.522" Properties=species:S:1:pos:R:3 pbc="T T T"
Sr -6.368 -0.087 -1.803
Sr 0.000 0.000 0.000
Sr -1.571 -3.691 -1.616
Mg -2.969 -0.651 -2.606
Mg -4.971 -3.126 -0.812
Ag -0.253 -1.188 -3.291
Ag -7.686 -2.589 -0.127
Ag -4.346 -2.999 -3.577
Ag -3.593 -0.778 0.158
```